# 1
Material: LiY2AlAu6
Method: DFT, PBE
State: relaxed

Computed properties:
SG	P-1, No. 2
formation enthalpy at 0 K	-550	meV per atom
size of the total moment	0.00	μB per cell

Unit cell a=7.5318 b=5.7551 c=7.7364 alpha=75.43 beta=39.96 gamma=83.05
Closest atoms and distances in Å follow each position.
Sites, in units of the cell vectors:
Li 0.5000 0.5000 0.0000  4 Au 2.66-2.68
Y 0.1351 0.7379 0.5572  8 Au 2.95-3.19, 1 Li 3.26
Y 0.8649 0.2621 0.4428  8 Au 2.95-3.19, 1 Li 3.26
Al 0.0000 0.0000 0.0000  6 Au 2.49-2.74
Au 0.3101 0.9310 0.0290  1 Al 2.49, 1 Li 2.68, 1 Au 2.72
Au 0.7258 0.5805 0.1805  1 Al 2.67, 3 Au 2.82-2.97
Au 0.2787 0.2379 0.4779  1 Li 2.66, 1 Al 2.74, 3 Au 2.82-2.91, 1 Y 2.95
Au 0.6899 0.0690 0.9710  1 Al 2.49, 1 Li 2.68, 1 Au 2.72
Au 0.2742 0.4195 0.8195  1 Al 2.67, 3 Au 2.82-2.97
Au 0.7213 0.7621 0.5221  1 Li 2.66, 1 Al 2.74, 3 Au 2.82-2.91, 1 Y 2.95

***

# 2
Material: Li3Al2Zn2Au4
Method: DFT, PBE
State: relaxed

Computed properties:
SG	P-3m1, No. 164
formation enthalpy at 0 K	-466	meV per atom
size of the total moment	0.00	μB per cell

Unit cell a=4.4200 b=4.4200 c=10.5869 alpha=90.00 beta=90.00 gamma=120.00
Closest atoms and distances in Å follow each position.
Sites, in units of the cell vectors:
Li 0.0000 0.0000 0.7331  6 Au 2.67-2.76, 1 Li 2.83
Li 0.0000 0.0000 0.0000  6 Zn 2.70, 2 Li 2.83
Li 0.0000 0.0000 0.2669  6 Au 2.67-2.76, 1 Li 2.83
Al 0.6667 0.3333 0.4204  5 Au 2.53-2.69
Al 0.3333 0.6667 0.5796  5 Au 2.53-2.69
Zn 0.6667 0.3333 0.9159  5 Au 2.67-2.72, 3 Li 2.70
Zn 0.3333 0.6667 0.0841  5 Au 2.67-2.72, 3 Li 2.70
Au 0.6667 0.3333 0.1678  4 Zn 2.67-2.70, 1 Al 2.67, 3 Li 2.76
Au 0.3333 0.6667 0.8322  4 Zn 2.67-2.70, 1 Al 2.67, 3 Li 2.76
Au 0.6667 0.3333 0.6589  4 Al 2.53-2.69, 3 Li 2.67, 1 Zn 2.72
Au 0.3333 0.6667 0.3411  4 Al 2.53-2.69, 3 Li 2.67, 1 Zn 2.72

***

# 3
Material: LiZrAl2Au4
Method: DFT, PBE
State: relaxed

Computed properties:
SG	R-3m, No. 166
formation enthalpy at 0 K	-536	meV per atom
size of the total moment	0.00	μB per cell

Unit cell a=4.4838 b=4.4838 c=8.2739 alpha=74.28 beta=74.28 gamma=60.00
Closest atoms and distances in Å follow each position.
Sites, in units of the cell vectors:
Li 0.5000 0.5000 0.5000  8 Au 2.65-2.73
Zr 0.0000 0.0000 0.0000  8 Au 2.89-3.06
Al 0.7533 0.7533 0.7400  7 Au 2.70-2.78
Al 0.2467 0.2467 0.2600  7 Au 2.70-2.78
Au 0.3878 0.3878 0.8366  1 Li 2.65, 3 Al 2.70, 3 Zr 2.89
Au 0.8701 0.8701 0.3898  3 Li 2.73, 4 Al 2.75-2.78
Au 0.1299 0.1299 0.6102  3 Li 2.73, 4 Al 2.75-2.78
Au 0.6122 0.6122 0.1634  1 Li 2.65, 3 Al 2.70, 3 Zr 2.89

***

# 4
Material: LuAl2Au
Method: DFT, PBE
State: relaxed

Computed properties:
SG	P4/mmm, No. 123
formation enthalpy at 0 K	-517	meV per atom
size of the total moment	0.00	μB per cell

Unit cell a=4.2492 b=4.2126 c=4.2126 alpha=90.00 beta=90.00 gamma=90.00
Closest atoms and distances in Å follow each position.
Sites, in units of the cell vectors:
Lu 0.5000 0.5000 0.5000  4 Au 2.98, 8 Al 2.99
Au 0.5000 0.0000 0.0000  4 Lu 2.98, 8 Al 2.99
Al 0.0000 0.0000 0.5000  4 Al 2.98, 4 Lu 2.99, 4 Au 2.99
Al 0.0000 0.5000 0.0000  4 Al 2.98, 4 Lu 2.99, 4 Au 2.99

***

# 5
Material: LuAl2Au
Method: DFT, PBE
State: relaxed

Computed properties:
SG	R-3m, No. 166
formation enthalpy at 0 K	-451	meV per atom
size of the total moment	0.00	μB per cell

Unit cell a=4.3063 b=4.3063 c=5.6218 alpha=67.48 beta=67.48 gamma=60.00
Closest atoms and distances in Å follow each position.
Sites, in units of the cell vectors:
Lu 0.0000 0.0000 0.0000  8 Al 3.05-3.28
Au 0.5000 0.5000 0.5000  6 Al 2.60
Al 0.7833 0.7833 0.6502  3 Au 2.60
Al 0.2167 0.2167 0.3498  3 Au 2.60

***

# 6
Material: LuPaAlAu
Method: DFT, PBE
State: relaxed

Computed properties:
SG	F-43m, No. 216
formation enthalpy at 0 K	-226	meV per atom
size of the total moment	1.24	μB per cell

Unit cell a=5.0761 b=5.0761 c=5.0761 alpha=60.00 beta=60.00 gamma=60.00
Closest atoms and distances in Å follow each position.
Sites, in units of the cell vectors:
Pa 0.2500 0.2500 0.2500  4 Al 3.11, 4 Au 3.11
Au 0.0000 0.0000 0.0000  4 Lu 3.11, 4 Pa 3.11
Lu 0.7500 0.7500 0.7500  4 Au 3.11, 4 Al 3.11
Al 0.5000 0.5000 0.5000  4 Pa 3.11, 4 Lu 3.11

***

# 7
Material: LuAlPdAu
Method: DFT, PBE
State: relaxed

Computed properties:
SG	F-43m, No. 216
formation enthalpy at 0 K	-801	meV per atom
size of the total moment	0.00	μB per cell

Unit cell a=4.6963 b=4.6963 c=4.6963 alpha=60.00 beta=60.00 gamma=60.00
Closest atoms and distances in Å follow each position.
Sites, in units of the cell vectors:
Lu 0.7500 0.7500 0.7500  4 Pd 2.88, 4 Au 2.88
Au 0.0000 0.0000 0.0000  4 Al 2.88, 4 Lu 2.88
Al 0.2500 0.2500 0.2500  4 Pd 2.88, 4 Au 2.88
Pd 0.5000 0.5000 0.5000  4 Lu 2.88, 4 Al 2.88

***

# 8
Material: PmLuAlAu
Method: DFT, PBE
State: relaxed

Computed properties:
SG	F-43m, No. 216
formation enthalpy at 0 K	-537	meV per atom
size of the total moment	0.00	μB per cell

Unit cell a=5.1507 b=5.1507 c=5.1507 alpha=60.00 beta=60.00 gamma=60.00
Closest atoms and distances in Å follow each position.
Sites, in units of the cell vectors:
Lu 0.2500 0.2500 0.2500  4 Al 3.15, 4 Au 3.15
Au 0.0000 0.0000 0.0000  4 Lu 3.15, 4 Pm 3.15
Al 0.5000 0.5000 0.5000  4 Pm 3.15, 4 Lu 3.15
Pm 0.7500 0.7500 0.7500  4 Au 3.15, 4 Al 3.15

***

# 9
Material: LuPuAlAu
Method: DFT, PBE
State: relaxed

Computed properties:
SG	F-43m, No. 216
formation enthalpy at 0 K	-362	meV per atom
size of the total moment	5.68	μB per cell

Unit cell a=5.0886 b=5.0886 c=5.0886 alpha=60.00 beta=60.00 gamma=60.00
Closest atoms and distances in Å follow each position.
Sites, in units of the cell vectors:
Lu 0.2500 0.2500 0.2500  4 Al 3.12, 4 Au 3.12
Au 0.0000 0.0000 0.0000  4 Lu 3.12, 4 Pu 3.12
Al 0.5000 0.5000 0.5000  4 Pu 3.12, 4 Lu 3.12
Pu 0.7500 0.7500 0.7500  4 Al 3.12, 4 Au 3.12

***

# 10
Material: LuAlRhAu
Method: DFT, PBE
State: relaxed

Computed properties:
SG	F-43m, No. 216
formation enthalpy at 0 K	-754	meV per atom
size of the total moment	0.00	μB per cell

Unit cell a=4.6432 b=4.6432 c=4.6432 alpha=60.00 beta=60.00 gamma=60.00
Closest atoms and distances in Å follow each position.
Sites, in units of the cell vectors:
Rh 0.5000 0.5000 0.5000  4 Lu 2.84, 4 Al 2.84
Lu 0.7500 0.7500 0.7500  4 Rh 2.84, 4 Au 2.84
Au 0.0000 0.0000 0.0000  4 Al 2.84, 4 Lu 2.84
Al 0.2500 0.2500 0.2500  4 Rh 2.84, 4 Au 2.84

***

# 11
Material: SmLuAlAu
Method: DFT, PBE
State: relaxed

Computed properties:
SG	F-43m, No. 216
formation enthalpy at 0 K	-545	meV per atom
size of the total moment	0.00	μB per cell

Unit cell a=5.1355 b=5.1355 c=5.1355 alpha=60.00 beta=60.00 gamma=60.00
Closest atoms and distances in Å follow each position.
Sites, in units of the cell vectors:
Lu 0.2500 0.2500 0.2500  4 Al 3.14, 4 Au 3.14
Au 0.5000 0.5000 0.5000  4 Sm 3.14, 4 Lu 3.14
Al 0.0000 0.0000 0.0000  4 Lu 3.14, 4 Sm 3.14
Sm 0.7500 0.7500 0.7500  4 Au 3.14, 4 Al 3.14

***

# 12
Material: LuThAlAu
Method: DFT, PBE
State: relaxed

Computed properties:
SG	F-43m, No. 216
formation enthalpy at 0 K	-424	meV per atom
size of the total moment	0.41	μB per cell

Unit cell a=5.1797 b=5.1797 c=5.1797 alpha=60.00 beta=60.00 gamma=60.00
Closest atoms and distances in Å follow each position.
Sites, in units of the cell vectors:
Lu 0.0000 0.0000 0.0000  4 Al 3.17, 4 Au 3.17
Au 0.7500 0.7500 0.7500  4 Th 3.17, 4 Lu 3.17
Al 0.2500 0.2500 0.2500  4 Th 3.17, 4 Lu 3.17
Th 0.5000 0.5000 0.5000  4 Al 3.17, 4 Au 3.17

***

Q: formation enthalpy at 0 K of number 5 (LuAl2Au)?
A: -451 meV per atom